# 1
A plane-wave DFT calculation with PBE was carried out for crystalline Er2TeS at its relaxed geometry.

Its magnetic moment is 0.00 μB per atom. Its energy above the most stable polymorph in this dataset is 28 meV per atom.

The structure belongs to space group R-3m (No. 166, hexagonal axes); the cell edges are 4.0476, 4.0476 and 20.5540 Å and the angles 90.00°, 90.00° and 120.00°. Symmetry generates all atoms from Er at (0.0000, 0.0000, 0.2335), Te at (0.0000, 0.0000, 0.0000) and S at (0.0000, 0.0000, 0.5000).

***

# 2
A plane-wave DFT calculation with PBE was carried out for crystalline Er2TeS2 at its relaxed geometry.

Its magnetic moment is 0.00 μB per atom. Its energy above the most stable polymorph in this dataset is 0 meV per atom.

The structure belongs to space group Immm (No. 71); the cell edges are 4.1482, 5.3255 and 13.4079 Å and the angles 90.00°, 90.00° and 90.00°. Symmetry generates all atoms from Er at (0.0000, 0.0000, 0.1673), Te at (0.0000, 0.5000, 0.5000) and S at (0.0000, 0.5000, 0.2030).

***

# 3
A plane-wave DFT calculation with PBE was carried out for crystalline Er4Te5S at its relaxed geometry.

Its magnetic moment is 0.00 μB per atom. The calculation puts the total energy at -104.00 eV/cell.

The structure belongs to space group C2/m (No. 12); the cell edges are 18.4712, 4.2100 and 8.5169 Å and the angles 90.00°, 103.04° and 90.00°. Symmetry generates all atoms from Er at (0.0016, 0.0000, 0.2440), Er at (0.1645, 0.5000, 0.0875), Te at (0.0000, 0.5000, 0.5000), Te at (0.1643, 0.0000, 0.3342), Te at (0.1653, 0.0000, 0.8272) and S at (0.0000, 0.5000, 0.0000).

***

# 4
A plane-wave DFT calculation with PBE was carried out for crystalline Er3TeS3 at its relaxed geometry.

Its magnetic moment is 0.00 μB per atom. The calculation puts the total energy at -249.81 eV/cell.

The structure belongs to space group R-3 (No. 148, hexagonal axes); the cell edges are 7.8213, 7.8213 and 21.2650 Å and the angles 90.00°, 90.00° and 120.00°. Symmetry generates all atoms from Er at (0.0112, 0.3899, 0.0993), Te at (0.0000, 0.0000, 0.3293) and S at (0.0005, 0.7292, 0.1101).

***

# 5
A plane-wave DFT calculation with PBE was carried out for crystalline ErTeS2 at its relaxed geometry.

Its magnetic moment is 0.00 μB per atom. The calculation puts the total energy at -61.57 eV/cell.

The structure belongs to space group R-3m (No. 166, hexagonal axes); the cell edges are 3.9467, 3.9467 and 24.7048 Å and the angles 90.00°, 90.00° and 120.00°. Symmetry generates all atoms from Er at (0.0000, 0.0000, 0.0000), Te at (0.0000, 0.0000, 0.5000) and S at (0.0000, 0.0000, 0.3924).

***

# 6
A plane-wave DFT calculation with PBE was carried out for crystalline Er4TeS2 at its relaxed geometry.

Its magnetic moment is 0.00 μB per atom. The calculation puts the total energy at -119.54 eV/cell.

The structure belongs to space group R-3m (No. 166, hexagonal axes); the cell edges are 3.9156, 3.9156 and 39.1007 Å and the angles 90.00°, 90.00° and 120.00°. Symmetry generates all atoms from Er at (0.0000, 0.0000, 0.1303), Er at (0.0000, 0.0000, 0.2799), Te at (0.0000, 0.0000, 0.0000) and S at (0.0000, 0.0000, 0.4240).

***

# 7
A plane-wave DFT calculation with PBE was carried out for crystalline Er2Te2S at its relaxed geometry.

Its magnetic moment is 0.00 μB per atom. Its energy above the most stable polymorph in this dataset is 50 meV per atom.

The structure belongs to space group Pnma (No. 62); the cell edges are 8.3947, 6.1700 and 12.0822 Å and the angles 90.00°, 90.00° and 90.00°. Symmetry generates all atoms from Er at (0.0620, 0.2500, 0.2329), Er at (0.1600, 0.2500, 0.5727), Te at (0.0456, 0.7500, 0.2114), Te at (0.1617, 0.7500, 0.5612) and S at (0.2083, 0.7500, 0.8819).

***

# 8
A plane-wave DFT calculation with PBE was carried out for crystalline Er2TeS at its relaxed geometry.

Its magnetic moment is 0.00 μB per atom. Its energy above the most stable polymorph in this dataset is 139 meV per atom.

The structure belongs to space group Pmna (No. 53); the cell edges are 5.6597, 6.2831 and 11.3269 Å and the angles 90.00°, 90.00° and 90.00°. Symmetry generates all atoms from Er at (0.0000, 0.1827, 0.1349), Er at (0.0000, 0.1905, 0.6073), Te at (0.0000, 0.3116, 0.8710) and S at (0.0000, 0.2403, 0.3709).

***

# 9
A plane-wave DFT calculation with PBE was carried out for crystalline Er5Te5S2 at its relaxed geometry.

Its magnetic moment is 0.00 μB per atom. The calculation puts the total energy at -130.11 eV/cell.

The structure belongs to space group C2/m (No. 12); the cell edges are 13.9031, 4.1415 and 12.3686 Å and the angles 90.00°, 105.71° and 90.00°. Symmetry generates all atoms from Er at (0.0000, 0.0000, 0.0000), Er at (0.1051, 0.0000, 0.3979), Er at (0.1753, 0.5000, 0.8021), Te at (0.0000, 0.5000, 0.5000), Te at (0.1647, 0.5000, 0.0542), Te at (0.2478, 0.0000, 0.6434) and S at (0.0400, 0.0000, 0.7940).

***

# 10
A plane-wave DFT calculation with PBE was carried out for crystalline Er4Te3S at its relaxed geometry.

Its magnetic moment is 0.22 μB per atom. The calculation puts the total energy at -80.72 eV/cell.

The structure belongs to space group Pmn2_1 (No. 31); the cell edges are 9.3575, 8.0571 and 7.4010 Å and the angles 90.00°, 90.00° and 90.00°. Symmetry generates all atoms from Er at (0.0000, 0.0915, 0.0000), Er at (0.0000, 0.8481, 0.4189), Er at (0.1973, 0.7122, 0.0097), Te at (0.0000, 0.2171, 0.3944), Te at (0.2263, 0.3489, 0.9016) and S at (0.0000, 0.8246, 0.7840).

***

# 11
A plane-wave DFT calculation with PBE was carried out for crystalline Er2TeS at its relaxed geometry.

Its magnetic moment is 0.00 μB per atom. Its energy above the most stable polymorph in this dataset is 0 meV per atom.

The structure belongs to space group R3m (No. 160, hexagonal axes); the cell edges are 3.9739, 3.9739 and 21.1875 Å and the angles 90.00°, 90.00° and 120.00°. Symmetry generates all atoms from Er at (0.0000, 0.0000, 0.0000), Er at (0.0000, 0.0000, 0.1951), Te at (0.0000, 0.0000, 0.4302) and S at (0.0000, 0.0000, 0.5999).

***

# 12
A plane-wave DFT calculation with PBE was carried out for crystalline ErTh2Te2S2 at its relaxed geometry.

Its magnetic moment is 0.12 μB per atom. The calculation puts the total energy at -85.31 eV/cell.

The structure belongs to space group I4/mmm (No. 139); the cell edges are 4.9549, 4.9549 and 16.1016 Å and the angles 90.00°, 90.00° and 90.00°. Symmetry generates all atoms from Er at (0.0000, 0.0000, 0.0000), Th at (0.0000, 0.0000, 0.3883), Te at (0.0000, 0.0000, 0.1858) and S at (0.0000, 0.5000, 0.0000).

***

# 13
A plane-wave DFT calculation with PBE was carried out for crystalline ErTl2TeS4 at its relaxed geometry.

Its magnetic moment is 0.00 μB per atom. The calculation puts the total energy at -34.67 eV/cell.

The structure belongs to space group P2/m (No. 10); the cell edges are 7.3679, 3.9598 and 7.7773 Å and the angles 90.00°, 109.44° and 90.00°. Symmetry generates all atoms from Er at (0.0000, 0.0000, 0.0000), Tl at (0.0000, 0.5000, 0.5000), Tl at (0.5000, 0.0000, 0.5000), Te at (0.5000, 0.5000, 0.0000), S at (0.2027, 0.5000, 0.2206) and S at (0.2678, 0.0000, 0.8117).

***

# 14
A plane-wave DFT calculation with PBE was carried out for crystalline ErTmTeS at its relaxed geometry.

Its magnetic moment is 0.00 μB per atom. The calculation puts the total energy at -68.31 eV/cell.

The structure belongs to space group R3m (No. 160, hexagonal axes); the cell edges are 3.9617, 3.9617 and 21.1678 Å and the angles 90.00°, 90.00° and 120.00°. Symmetry generates all atoms from Er at (0.0000, 0.0000, 0.0000), Tm at (0.0000, 0.0000, 0.1952), Te at (0.0000, 0.0000, 0.4307) and S at (0.0000, 0.0000, 0.5994).

***

# 15
A plane-wave DFT calculation with PBE was carried out for crystalline YErTeS at its relaxed geometry.

Its magnetic moment is 0.00 μB per atom. The calculation puts the total energy at -74.96 eV/cell.

The structure belongs to space group R3m (No. 160, hexagonal axes); the cell edges are 4.0066, 4.0066 and 21.2663 Å and the angles 90.00°, 90.00° and 120.00°. Symmetry generates all atoms from Y at (0.0000, 0.0000, 0.0000), Er at (0.0000, 0.0000, 0.8050), Te at (0.0000, 0.0000, 0.2341) and S at (0.0000, 0.0000, 0.4063).

***

# 16
A plane-wave DFT calculation with PBE was carried out for crystalline Er4ZnTe2S at its relaxed geometry.

Its magnetic moment is 0.00 μB per atom. The calculation puts the total energy at -39.37 eV/cell.

The structure belongs to space group P2/m (No. 10); the cell edges are 7.2212, 4.0296 and 7.3799 Å and the angles 90.00°, 107.90° and 90.00°. Symmetry generates all atoms from Er at (0.2366, 0.0000, 0.2129), Er at (0.2616, 0.5000, 0.7771), Zn at (0.5000, 0.0000, 0.0000), Te at (0.0000, 0.0000, 0.5000), Te at (0.5000, 0.5000, 0.5000) and S at (0.0000, 0.5000, 0.0000).

***

# 17
A plane-wave DFT calculation with PBE was carried out for crystalline ErThS2 at its relaxed geometry.

Its magnetic moment is 0.00 μB per atom. Its energy above the most stable polymorph in this dataset is 0 meV per atom.

The structure belongs to space group R-3m (No. 166, hexagonal axes); the cell edges are 3.8737, 3.8737 and 20.1949 Å and the angles 90.00°, 90.00° and 120.00°. Symmetry generates all atoms from Er at (0.0000, 0.0000, 0.0000), Th at (0.0000, 0.0000, 0.5000) and S at (0.0000, 0.0000, 0.2567).

***

# 18
A plane-wave DFT calculation with PBE was carried out for crystalline Er2ThS3 at its relaxed geometry.

Its magnetic moment is 0.00 μB per atom. The calculation puts the total energy at -80.45 eV/cell.

The structure belongs to space group Immm (No. 71); the cell edges are 3.8818, 5.5813 and 11.8934 Å and the angles 90.00°, 90.00° and 90.00°. Symmetry generates all atoms from Er at (0.0000, 0.0000, 0.1624), Th at (0.0000, 0.0000, 0.5000), S at (0.0000, 0.5000, 0.1772) and S at (0.0000, 0.5000, 0.5000).

***

# 19
A plane-wave DFT calculation with PBE was carried out for crystalline Er4ThS5 at its relaxed geometry.

Its magnetic moment is 0.00 μB per atom. The calculation puts the total energy at -130.82 eV/cell.

The structure belongs to space group Immm (No. 71); the cell edges are 3.8833, 5.5409 and 19.5898 Å and the angles 90.00°, 90.00° and 90.00°. Symmetry generates all atoms from Er at (0.0000, 0.0000, 0.0977), Er at (0.0000, 0.0000, 0.2986), Th at (0.0000, 0.0000, 0.5000), S at (0.0000, 0.5000, 0.1067), S at (0.0000, 0.5000, 0.3010) and S at (0.0000, 0.5000, 0.5000).

***

# 20
A plane-wave DFT calculation with PBE was carried out for crystalline Er4ThS6 at its relaxed geometry.

Its magnetic moment is 0.00 μB per atom. The calculation puts the total energy at -288.71 eV/cell.

The structure belongs to space group Cmcm (No. 63); the cell edges are 3.8464, 12.7584 and 19.5099 Å and the angles 90.00°, 90.00° and 90.00°. Symmetry generates all atoms from Er at (0.0000, 0.0894, 0.1244), Er at (0.0000, 0.3624, 0.0389), Th at (0.0000, 0.1550, 0.7500), S at (0.0000, 0.0000, 0.0000), S at (0.0000, 0.1839, 0.2500), S at (0.0000, 0.2668, 0.5911) and S at (0.0000, 0.4527, 0.1661).